No. 1
A plane-wave DFT calculation with GGA-PBE was carried out for crystalline BaZnTc2 at its relaxed geometry.

Uncorrected energy (eV/cell): -22.70
ΔH_f (0 K) (eV/atom): 0.307
Fermi-level density of states (states/eV per cell): 3.2
Symmetry: P4mm, No. 99
Size of the total moment (μB per cell): 0.00
Crystal system: tetragonal

Cell lengths 3.197, 3.197, 8.046 Å; angles 90.00, 90.00, 90.00 degrees
Atoms (fractional coordinates):
Tc1 0.000 0.000 0.081
Tc2 0.500 0.500 0.235
Ba1 0.500 0.500 0.756
Zn1 0.000 0.000 0.429

No. 2
A plane-wave DFT calculation with GGA-PBE was carried out for crystalline BaZn2Tc at its relaxed geometry.

Uncorrected energy (eV/cell): -13.96
ΔH_f (0 K) (eV/atom): 0.219
Offset from the most stable computed form (meV/atom): 0
Fermi-level density of states (states/eV per cell): 3.5
Symmetry: Cm, No. 8
Size of the total moment (μB per cell): 0.51
Crystal system: monoclinic

Cell lengths 4.462, 4.462, 6.306 Å; angles 69.18, 69.18, 59.99 degrees
Each line ends with the local moment (μB).
Atoms (fractional coordinates):
Zn1 0.003 0.003 0.992  0.01
Zn2 0.313 0.313 0.060  0.01
Ba1 0.499 0.499 0.502  -0.02
Tc1 0.685 0.685 0.946  0.53

No. 3
A plane-wave DFT calculation with GGA-PBE was carried out for crystalline BaZnTc2 at its relaxed geometry.

Uncorrected energy (eV/cell): -22.75
ΔH_f (0 K) (eV/atom): 0.295
Fermi-level density of states (states/eV per cell): 3.1
Symmetry: R-3m, No. 166
Size of the total moment (μB per cell): 0.00
Crystal system: trigonal

Cell lengths 4.425, 4.425, 6.482 Å; angles 69.99, 69.99, 60.01 degrees
Atoms (fractional coordinates):
Tc1 0.430 0.430 0.710
Tc2 0.070 0.070 0.790
Ba1 0.250 0.250 0.250
Zn1 0.750 0.750 0.750